Entry 1:
KPaRuS3 | PBE | optimized geometry

abc: 3.872 8.867 9.245
angles: 108.97 90.00 90.00
Element x y z (fractional)
Pa 0.250 0.685 0.169
S 0.750 0.883 0.139
S 0.250 0.547 0.852
Ru 0.250 0.087 0.596
S 0.750 0.205 0.530
Ru 0.750 0.913 0.404
S 0.250 0.795 0.470
K 0.250 0.201 0.240
K 0.750 0.799 0.760
S 0.250 0.117 0.861
S 0.750 0.453 0.148
Pa 0.750 0.315 0.831

Summary:
Calculated density (g/cm³): 5.2
Raw formation energy (meV/atom): -1181
SG: P2_1/m (11)
D(E_F) (states/eV per cell): 8.29

Entry 2:
K3Pa3RuS8 | PBE | optimized geometry

abc: 7.654 7.650 8.929
angles: 115.34 90.00 120.02
Element x y z (fractional)
K 0.000 0.000 0.000
Pa 0.000 0.500 0.500
S 0.738 0.476 0.714
S 0.262 0.524 0.286
S 0.783 0.026 0.309
Pa 0.500 0.500 0.500
S 0.756 0.974 0.691
S 0.217 0.974 0.691
S 0.783 0.565 0.309
K 0.500 0.500 0.000
S 0.217 0.435 0.691
S 0.244 0.026 0.309
K 0.000 0.500 0.000
Pa 0.500 0.000 0.500
Ru 0.000 0.000 0.500

Summary:
Calculated density (g/cm³): 4.9
Raw formation energy (meV/atom): -1310
SG: R-3m (166)
D(E_F) (states/eV per cell): 16.82

Entry 3:
K2Pa2S5 | PBE | optimized geometry

abc: 7.643 7.636 8.647
angles: 116.20 90.00 90.00
Element x y z (fractional)
S 0.145 0.244 0.777
S 0.000 0.000 0.000
K 0.500 0.706 0.412
S 0.355 0.744 0.777
Pa 0.339 0.161 0.000
Pa 0.161 0.661 0.000
S 0.645 0.033 0.777
S 0.500 0.500 0.000
Pa 0.661 0.839 0.000
K 0.000 0.206 0.412
S 0.145 0.467 0.223
S 0.645 0.256 0.223
S 0.355 0.967 0.223
K 0.500 0.294 0.588
K 0.000 0.794 0.588
S 0.855 0.756 0.223
S 0.855 0.533 0.777
Pa 0.839 0.339 0.000

Summary:
Calculated density (g/cm³): 5.1
Raw formation energy (meV/atom): -1586
SG: Cmce (64)
D(E_F) (states/eV per cell): 7.49
ΔE to the lowest computed polymorph (meV/atom): 0

Entry 4:
KPaS | PBE | optimized geometry

abc: 3.521 3.523 16.159
angles: 90.00 90.00 119.98
Element x y z (fractional)
S 0.269 0.538 0.500
K 0.602 0.205 0.366
K 0.602 0.205 0.634
S 0.620 0.240 0.000
Pa 0.287 0.573 0.118
Pa 0.287 0.573 0.882

Summary:
Calculated density (g/cm³): 5.8
Raw formation energy (meV/atom): -254
SG: Amm2 (38)
D(E_F) (states/eV per cell): 9.03

Entry 5:
K2Pa3S6 | PBE | optimized geometry

abc: 6.908 6.901 8.001
angles: 81.80 73.43 59.97
Element x y z (fractional)
S 0.601 0.336 0.200
S 0.399 0.664 0.800
S 0.738 0.000 0.795
S 0.262 0.000 0.205
Pa 0.337 0.327 0.000
S 0.937 0.664 0.200
K 0.833 0.335 0.500
S 0.063 0.336 0.800
Pa 0.000 0.000 0.000
Pa 0.663 0.673 0.000
K 0.167 0.665 0.500

Summary:
Calculated density (g/cm³): 5.1
Raw formation energy (meV/atom): -1534
SG: C2/m (12)
D(E_F) (states/eV per cell): 12.47

Entry 6:
KPaS4 | PBE | optimized geometry

abc: 8.204 8.204 8.807
angles: 122.06 57.94 122.96
Element x y z (fractional)
S 0.892 0.344 0.204
K 0.508 0.508 0.500
S 0.344 0.892 0.796
S 0.760 0.740 0.799
S 0.260 0.240 0.778
S 0.240 0.260 0.222
Pa 0.489 0.489 0.000
S 0.156 0.608 0.204
S 0.740 0.760 0.201
Pa 0.011 0.011 0.000
K 0.992 0.992 0.500
S 0.608 0.156 0.796

Summary:
Calculated density (g/cm³): 3.3
Raw formation energy (meV/atom): -1123
SG: C2/m (12)
ΔE to the lowest computed polymorph (meV/atom): 0

Entry 7:
KPa5S12 | PBE | optimized geometry

abc: 8.492 8.492 8.492
angles: 102.55 120.57 105.91
Element x y z (fractional)
S 0.309 0.652 0.962
K 0.000 0.500 0.500
Pa 0.500 0.847 0.347
Pa 0.000 0.000 0.000
S 0.183 0.993 0.810
S 0.183 0.373 0.190
Pa 0.660 0.660 0.000
S 0.817 0.627 0.810
Pa 0.340 0.340 0.000
S 0.691 0.348 0.038
S 0.849 0.153 0.697
Pa 0.500 0.153 0.653
S 0.691 0.652 0.343
S 0.309 0.348 0.657
S 0.151 0.847 0.303
S 0.817 0.007 0.190
S 0.544 0.847 0.697
S 0.456 0.153 0.303

Summary:
Calculated density (g/cm³): 5.7
Raw formation energy (meV/atom): -1333
SG: Immm (71)
D(E_F) (states/eV per cell): 5.44

Entry 8:
KPa3S6 | PBE | optimized geometry

abc: 4.125 8.580 8.580
angles: 110.00 90.00 90.00
Element x y z (fractional)
S 0.000 0.929 0.672
Pa 0.000 0.000 0.000
K 0.000 0.500 0.500
S 0.500 0.320 0.680
S 0.000 0.672 0.929
S 0.500 0.680 0.320
S 0.000 0.071 0.328
Pa 0.500 0.000 0.500
Pa 0.500 0.500 0.000
S 0.000 0.328 0.071

Summary:
Calculated density (g/cm³): 5.4
Raw formation energy (meV/atom): -1385
SG: Cmmm (65)
D(E_F) (states/eV per cell): 8.69
ΔE to the lowest computed polymorph (meV/atom): 193

Entry 9:
K2Pa2S5 | PBE | optimized geometry

abc: 5.391 7.761 8.253
angles: 124.74 90.00 110.32
Element x y z (fractional)
S 0.000 0.000 0.000
S 0.117 0.233 0.508
Pa 0.111 0.221 0.823
S 0.648 0.296 0.890
K 0.625 0.250 0.289
S 0.352 0.704 0.110
K 0.375 0.750 0.711
S 0.883 0.767 0.492
Pa 0.889 0.779 0.177

Summary:
Calculated density (g/cm³): 4.5
Raw formation energy (meV/atom): -1513
SG: C2/m (12)
D(E_F) (states/eV per cell): 8.20
ΔE to the lowest computed polymorph (meV/atom): 72

Entry 10:
K3Pa4S12 | PBE | optimized geometry

abc: 9.082 9.082 9.082
angles: 109.47 109.47 109.47
Element x y z (fractional)
S 0.505 0.241 0.264
S 0.241 0.736 0.977
S 0.495 0.759 0.736
K 0.500 0.000 0.500
S 0.264 0.505 0.241
Pa 0.500 0.500 0.500
S 0.977 0.241 0.736
Pa 0.500 0.000 0.000
S 0.264 0.023 0.759
S 0.736 0.495 0.759
S 0.736 0.977 0.241
S 0.241 0.264 0.505
K 0.000 0.500 0.500
S 0.759 0.264 0.023
K 0.500 0.500 0.000
S 0.759 0.736 0.495
Pa 0.000 0.500 0.000
Pa 0.000 0.000 0.500
S 0.023 0.759 0.264

Summary:
Calculated density (g/cm³): 4.1
Raw formation energy (meV/atom): -1450
SG: Im-3 (204)
D(E_F) (states/eV per cell): 9.33

Entry 11:
KPaS4 | PBE | optimized geometry

abc: 4.388 4.388 8.157
angles: 90.00 90.00 90.00
Element x y z (fractional)
K 0.000 0.000 0.000
Pa 0.500 0.500 0.500
S 0.500 0.000 0.702
S 0.500 0.000 0.298
S 0.000 0.500 0.298
S 0.000 0.500 0.702

Summary:
Calculated density (g/cm³): 4.2
Raw formation energy (meV/atom): -1094
SG: P4/mmm (123)
D(E_F) (states/eV per cell): 2.03
ΔE to the lowest computed polymorph (meV/atom): 30

Entry 12:
KPa3S6 | PBE | optimized geometry

abc: 4.104 11.321 13.453
angles: 124.99 90.00 90.00
Element x y z (fractional)
Pa 0.750 0.666 0.166
S 0.250 0.290 0.443
S 0.750 0.404 0.733
S 0.250 0.038 0.775
K 0.750 0.393 0.309
S 0.750 0.710 0.557
K 0.250 0.607 0.691
Pa 0.750 0.092 0.928
S 0.250 0.596 0.267
Pa 0.750 0.171 0.489
Pa 0.250 0.334 0.834
S 0.250 0.633 0.008
S 0.750 0.836 0.909
S 0.750 0.962 0.225
Pa 0.250 0.908 0.072
S 0.250 0.118 0.591
Pa 0.250 0.829 0.511
S 0.750 0.367 0.992
S 0.250 0.164 0.091
S 0.750 0.882 0.409

Summary:
Calculated density (g/cm³): 6.0
Raw formation energy (meV/atom): -1578
SG: P2_1/m (11)
D(E_F) (states/eV per cell): 23.35
ΔE to the lowest computed polymorph (meV/atom): 0